Entry 1:
DFT (PBE-GGA) results for a geometry-optimized AgH2Pd structure.

Results
Crystal system = cubic
E_tot = -3.236 eV/atom

abc: 3.847 3.847 3.847
angles: 60.00 60.00 60.00
Element x y z (fractional)
H: 0.750 0.750 0.750
H: 0.250 0.250 0.250
Ag: 0.500 0.500 0.500
Pd: 0.000 0.000 0.000



Entry 2:
DFT (PBE-GGA) results for a geometry-optimized AgHPd structure.

Results
Crystal system = tetragonal
E_tot = -3.870 eV/atom

abc: 4.017 4.014 4.415
angles: 90.00 89.99 90.00
Element x y z (fractional)
Ag: 0.814 0.866 0.420
Pd: 0.314 0.867 0.920
H: 0.313 0.366 0.919
H: 0.814 0.867 0.920
Ag: 0.314 0.367 0.420
Pd: 0.814 0.367 0.920



Entry 3:
DFT (PBE-GGA) results for a geometry-optimized AgHPd2 structure.

Results
Crystal system = monoclinic
E_tot = -4.157 eV/atom

abc: 2.811 4.907 7.822
angles: 90.00 90.00 106.40
Element x y z (fractional)
Pd: 0.363 0.726 0.925
H: 0.138 0.269 0.250
Pd: 0.637 0.274 0.425
Pd: 0.637 0.274 0.075
Pd: 0.363 0.726 0.575
Ag: 0.904 0.805 0.250
H: 0.862 0.731 0.750
Ag: 0.096 0.195 0.750



Entry 4:
DFT (PBE-GGA) results for a geometry-optimized AgH2Pd structure.

Results
Crystal system = trigonal
E_tot = -3.665 eV/atom

abc: 3.025 3.025 5.501
angles: 74.04 74.04 60.00
Element x y z (fractional)
Ag: 0.000 0.000 0.000
H: 0.879 0.879 0.363
H: 0.121 0.121 0.637
Pd: 0.500 0.500 0.500



Entry 5:
DFT (PBE-GGA) results for a geometry-optimized Ag2H2Pd3 structure.

Results
Crystal system = triclinic
E_tot = -4.059 eV/atom

abc: 2.886 5.188 7.668
angles: 110.50 78.04 124.03
Element x y z (fractional)
Ag: 0.000 0.801 0.602
H: 0.234 0.737 0.001
Pd: 0.999 0.395 0.789
Ag: 0.000 0.199 0.398
Pd: 0.001 0.605 0.211
H: 0.766 0.263 0.999
Pd: 0.000 0.000 0.000



Entry 6:
DFT (PBE-GGA) results for a geometry-optimized Ag2HPd2 structure.

Results
Crystal system = monoclinic
E_tot = -3.956 eV/atom

abc: 5.866 4.939 5.725
angles: 101.72 120.82 90.00
Element x y z (fractional)
H: 0.031 0.750 0.000
Ag: 0.495 0.982 0.743
Pd: 0.747 0.486 0.748
Pd: 0.253 0.514 0.252
Ag: 0.505 0.018 0.257
Pd: 0.999 0.014 0.252
H: 0.969 0.250 0.000
Ag: 0.249 0.482 0.743
Pd: 0.001 0.986 0.748
Ag: 0.751 0.518 0.257



Entry 7:
DFT (PBE-GGA) results for a geometry-optimized Ag3H2Pd structure.

Results
Crystal system = monoclinic
E_tot = -3.347 eV/atom

abc: 3.010 6.541 8.042
angles: 86.73 79.21 76.70
Element x y z (fractional)
H: 0.393 0.828 0.386
Pd: 0.561 0.571 0.308
Ag: 0.686 0.695 0.934
H: 0.888 0.411 0.813
Pd: 0.439 0.429 0.692
Ag: 0.818 0.796 0.569
H: 0.607 0.172 0.614
Ag: 0.935 0.947 0.183
Ag: 0.182 0.204 0.431
Ag: 0.065 0.053 0.817
Ag: 0.314 0.305 0.066
H: 0.112 0.589 0.187



Entry 8:
DFT (PBE-GGA) results for a geometry-optimized Ag3HPd2 structure.

Results
Crystal system = monoclinic
E_tot = -3.630 eV/atom

abc: 5.242 5.242 7.203
angles: 76.60 76.60 81.97
Element x y z (fractional)
Pd: 0.563 0.165 0.150
Ag: 0.705 0.295 0.750
Ag: 0.295 0.705 0.250
Ag: 0.228 0.103 0.520
Ag: 0.103 0.228 0.020
Ag: 0.772 0.897 0.480
Pd: 0.437 0.835 0.850
Pd: 0.835 0.437 0.350
H: 0.425 0.575 0.750
Ag: 0.897 0.772 0.980
Pd: 0.165 0.563 0.650
H: 0.575 0.425 0.250



Entry 9:
DFT (PBE-GGA) results for a geometry-optimized AgH5Pd8 structure.

Results
Crystal system = triclinic
E_tot = -4.448 eV/atom

abc: 2.870 8.661 7.791
angles: 79.41 100.94 60.36
Element x y z (fractional)
Pd: 0.924 0.188 0.875
Pd: 0.704 0.854 0.436
Pd: 0.379 0.847 0.765
Pd: 0.610 0.181 0.232
H: 0.092 0.671 0.659
Pd: 0.276 0.180 0.557
Pd: 0.827 0.514 0.661
Pd: 0.175 0.506 0.335
Ag: 0.495 0.512 0.995
H: 0.920 0.336 0.315
Pd: 0.040 0.850 0.096
H: 0.688 0.986 0.794
H: 0.618 0.114 0.033
H: 0.752 0.760 0.247



Entry 10:
DFT (PBE-GGA) results for a geometry-optimized AgH4Pd5 structure.

Results
Crystal system = orthorhombic
E_tot = -4.245 eV/atom

abc: 4.752 5.654 8.110
angles: 90.00 90.00 90.00
Element x y z (fractional)
H: 0.485 0.715 0.000
Pd: 0.235 0.000 0.500
Pd: 0.248 0.750 0.829
H: 0.043 0.000 0.290
H: 0.043 0.000 0.710
H: 0.957 0.500 0.210
Pd: 0.752 0.750 0.329
Pd: 0.765 0.500 0.000
H: 0.485 0.285 0.000
Pd: 0.752 0.250 0.329
Pd: 0.752 0.250 0.671
Pd: 0.752 0.750 0.671
Ag: 0.233 0.500 0.500
H: 0.957 0.500 0.790
Pd: 0.248 0.250 0.171
H: 0.515 0.785 0.500
Ag: 0.767 0.000 0.000
Pd: 0.248 0.250 0.829
H: 0.515 0.215 0.500
Pd: 0.248 0.750 0.171



Entry 11:
DFT (PBE-GGA) results for a geometry-optimized AgH6Pd8 structure.

Results
Crystal system = hexagonal
E_tot = -4.373 eV/atom

abc: 5.087 5.087 14.488
angles: 90.00 90.00 120.00
Element x y z (fractional)
Pd: 0.000 0.676 0.751
H: 0.667 0.333 0.788
Ag: 0.000 0.000 0.418
Pd: 0.667 0.333 0.918
H: 0.383 0.000 0.476
Pd: 0.333 0.667 0.418
Pd: 0.663 0.663 0.594
Pd: 0.324 0.000 0.251
H: 0.000 0.000 0.149
Pd: 0.667 0.333 0.418
H: 0.333 0.667 0.788
H: 0.000 0.617 0.976
Pd: 0.663 0.000 0.094
H: 0.383 0.383 0.976
H: 0.617 0.000 0.976
Pd: 0.000 0.337 0.594
Pd: 0.000 0.663 0.094
Pd: 0.337 0.337 0.094
Pd: 0.324 0.324 0.751
H: 0.333 0.667 0.288
Pd: 0.333 0.667 0.918
H: 0.667 0.333 0.288
H: 0.617 0.617 0.476
Pd: 0.676 0.000 0.751
Pd: 0.337 0.000 0.594
H: 0.000 0.000 0.649
Ag: 0.000 0.000 0.918
Pd: 0.676 0.676 0.251
Pd: 0.000 0.324 0.251
H: 0.000 0.383 0.476



Entry 12:
DFT (PBE-GGA) results for a geometry-optimized AgHPd2 structure.

Results
Crystal system = tetragonal
E_tot = -3.965 eV/atom

abc: 2.749 2.749 6.897
angles: 90.00 90.00 90.00
Element x y z (fractional)
H: 0.500 0.500 0.000
Pd: 0.000 0.000 0.810
Ag: 0.500 0.500 0.500
Pd: 0.000 0.000 0.190